No. 1
# CeCoNi

Crystalline CeCoNi at its relaxed geometry (PBE, Alexandria via LeMat-Bulk).

Values from the calculation:
Energy relative to the lowest polymorph listed for this composition   134 meV per atom
Total magnetic moment   0.39 μB per formula unit
Total DFT energy (no corrections)   -6.458 eV/atom

abc: 4.0377 4.0377 3.7266
angles: 90.00 90.00 120.00
Closest atoms and distances in Å follow each position.
Space group P-6m2 (No. 187)
Asymmetric unit:
Ce: 0.0000 0.0000 0.0000 [1 per cell]  6 Co 2.98, 6 Ni 2.98
Co: 0.3333 0.6667 0.5000 [1 per cell]  3 Ni 2.33
Ni: 0.6667 0.3333 0.5000 [1 per cell]  3 Co 2.33



No. 2
# CeCoNi3

Crystalline CeCoNi3 at its relaxed geometry (PBE, Alexandria via LeMat-Bulk).

Values from the calculation:
Energy relative to the lowest polymorph listed for this composition   413 meV per atom
Total magnetic moment   1.55 μB per formula unit
Total DFT energy (no corrections)   -5.877 eV/atom

abc: 6.4732 11.1900 4.4128
angles: 90.00 90.00 90.00
Closest atoms and distances in Å follow each position.
Space group Cmcm (No. 63)
Asymmetric unit:
Ce: 0.0000 0.1018 0.2500 [4 per cell]  2 Ni 2.40, 1 Co 2.41
Co: 0.0000 0.3171 0.2500 [4 per cell]  8 Ni 2.32-2.50, 1 Ce 2.41
Ni: 0.0000 0.5000 0.0000 [4 per cell]  2 Ni 2.21, 2 Co 2.32
Ni: 0.1767 0.2928 0.7500 [8 per cell]  1 Ni 2.29, 1 Ce 2.40, 3 Co 2.43-2.50



No. 3
# CeCoNi2

Crystalline CeCoNi2 at its relaxed geometry (PBE, Alexandria via LeMat-Bulk).

Values from the calculation:
Total magnetic moment   0.82 μB per formula unit
Total DFT energy (no corrections)   -6.341 eV/atom

abc: 4.0958 4.0958 13.3823
angles: 90.00 90.00 120.00
Closest atoms and distances in Å follow each position.
Space group R-3m (No. 166, hexagonal axes)
Asymmetric unit:
Ce: 0.0000 0.0000 0.0000 [3 per cell]  2 Ni 2.64
Co: 0.0000 0.0000 0.5000 [3 per cell]  6 Ni 2.40
Ni: 0.0000 0.0000 0.1975 [6 per cell]  3 Co 2.40, 3 Ni 2.50, 1 Ce 2.64



No. 4
# Ce3CoNi

Crystalline Ce3CoNi at its relaxed geometry (PBE, Alexandria via LeMat-Bulk).

Values from the calculation:
Energy relative to the lowest polymorph listed for this composition   0 meV per atom
Total magnetic moment   0.00 μB per formula unit
Total DFT energy (no corrections)   -6.319 eV/atom

abc: 3.6672 6.1652 9.6545
angles: 101.04 100.36 90.83
Closest atoms and distances in Å follow each position.
Space group P-1 (No. 2)
Asymmetric unit:
Ce: 0.1011 0.2762 0.0250 [2 per cell]  2 Co 2.59-2.76
Ce: 0.1761 0.0906 0.3495 [2 per cell]  2 Co 2.61-2.63, 2 Ni 2.79-2.82
Ce: 0.3684 0.4492 0.7406 [2 per cell]  3 Ni 2.69-3.01, 1 Ce 2.94
Co: 0.4173 0.0027 0.8505 [2 per cell]  4 Ce 2.59-2.76, 1 Co 2.85
Ni: 0.2401 0.6396 0.4723 [2 per cell]  2 Ni 2.64, 4 Ce 2.69-2.82



No. 5
# Ce2CoNi3

Crystalline Ce2CoNi3 at its relaxed geometry (PBE, Alexandria via LeMat-Bulk).

Values from the calculation:
Total magnetic moment   0.00 μB per formula unit
Total DFT energy (no corrections)   -6.399 eV/atom

abc: 5.0078 5.0078 12.6426
angles: 90.00 90.00 120.00
Closest atoms and distances in Å follow each position.
Space group R-3m (No. 166, hexagonal axes)
Asymmetric unit:
Ce: 0.0000 0.0000 0.1266 [6 per cell]  3 Co 2.94, 9 Ni 2.97-2.99, 4 Ce 3.06-3.20
Co: 0.0000 0.0000 0.5000 [3 per cell]  6 Ni 2.56
Ni: 0.0000 0.5000 0.0000 [9 per cell]  4 Ni 2.50, 2 Co 2.56



No. 6
# CeCo4Ni

Crystalline CeCo4Ni at its relaxed geometry (PBE, Alexandria via LeMat-Bulk).

Values from the calculation:
Total magnetic moment   5.74 μB per formula unit
Total DFT energy (no corrections)   -6.705 eV/atom

abc: 6.9075 6.9075 6.9075
angles: 90.00 90.00 90.00
Closest atoms and distances in Å follow each position.
Space group F-43m (No. 216)
Asymmetric unit:
Ce: 0.0000 0.0000 0.0000 [4 per cell]  12 Co 2.87, 4 Ni 2.99
Co: 0.1232 0.1232 0.6232 [16 per cell]  6 Co 2.41-2.48
Ni: 0.2500 0.2500 0.2500 [4 per cell]  12 Co 2.86, 4 Ce 2.99



Which formula does entry 3 have?
CeCoNi2



What did the fourth record say?
# Ce3CoNi

Crystalline Ce3CoNi at its relaxed geometry (PBE, Alexandria via LeMat-Bulk).

Values from the calculation:
Energy relative to the lowest polymorph listed for this composition   0 meV per atom
Total magnetic moment   0.00 μB per formula unit
Total DFT energy (no corrections)   -6.319 eV/atom

abc: 3.6672 6.1652 9.6545
angles: 101.04 100.36 90.83
Closest atoms and distances in Å follow each position.
Space group P-1 (No. 2)
Asymmetric unit:
Ce: 0.1011 0.2762 0.0250 [2 per cell]  2 Co 2.59-2.76
Ce: 0.1761 0.0906 0.3495 [2 per cell]  2 Co 2.61-2.63, 2 Ni 2.79-2.82
Ce: 0.3684 0.4492 0.7406 [2 per cell]  3 Ni 2.69-3.01, 1 Ce 2.94
Co: 0.4173 0.0027 0.8505 [2 per cell]  4 Ce 2.59-2.76, 1 Co 2.85
Ni: 0.2401 0.6396 0.4723 [2 per cell]  2 Ni 2.64, 4 Ce 2.69-2.82